Record 1
# PBE Cs2K6RbO, optimized geometry
data_Cs2K6RbO
_chemical_formula_sum 'Cs2 K6 Rb1 O1'
_cell_length_a 10.049
_cell_length_b 10.054
_cell_length_c 10.222
_cell_angle_alpha 120.53
_cell_angle_beta 120.50
_cell_angle_gamma 89.73
_symmetry_space_group_name_H-M 'P 1'
_symmetry_Int_Tables_number 1
_symmetry_space_group_name_Hall 'P 1'
loop_
_atom_site_label
_atom_site_fract_x
_atom_site_fract_y
_atom_site_fract_z
Cs1 0.756 0.244 0.500
Cs2 0.243 0.757 0.500
K1 0.809 0.810 0.995
K2 0.808 0.808 0.624
K3 0.191 0.191 0.005
K4 0.811 0.189 0.000
K5 0.192 0.192 0.376
K6 0.189 0.812 0.000
Rb1 0.500 0.500 0.000
O1 0.000 0.000 0.000
# formation energy (no corrections) = -0.2784 eV per atom
# SG = C2/m (12)

---

Record 2
# PBE PrNdTh2, optimized geometry
data_PrNdTh2
_chemical_formula_sum 'Pr1 Nd1 Th2'
_cell_length_a 5.251
_cell_length_b 5.055
_cell_length_c 5.055
_cell_angle_alpha 90.00
_cell_angle_beta 90.00
_cell_angle_gamma 90.00
_symmetry_space_group_name_H-M 'P 1'
_symmetry_Int_Tables_number 1
_symmetry_space_group_name_Hall 'P 1'
loop_
_atom_site_label
_atom_site_fract_x
_atom_site_fract_y
_atom_site_fract_z
Pr1 0.500 0.500 0.500
Nd1 0.500 0.000 0.000
Th1 0.000 0.000 0.500
Th2 0.000 0.500 0.000
# SG = P4/mmm (123)
# ΔE_f = 35 kJ/mol of formula units
# energy above the lowest structure with this stoichiometry = 0.246 eV per formula unit

---

Record 3
# PBE ErZn5Rh2, optimized geometry
data_ErZn5Rh2
_chemical_formula_sum 'Er1 Zn5 Rh2'
_cell_length_a 3.734
_cell_length_b 6.386
_cell_length_c 6.386
_cell_angle_alpha 75.03
_cell_angle_beta 73.00
_cell_angle_gamma 73.00
_symmetry_space_group_name_H-M 'P 1'
_symmetry_Int_Tables_number 1
_symmetry_space_group_name_Hall 'P 1'
loop_
_atom_site_label
_atom_site_fract_x
_atom_site_fract_y
_atom_site_fract_z
Er1 0.000 0.000 0.000
Zn1 0.000 0.500 0.500
Zn2 0.650 0.539 0.161
Zn3 0.350 0.461 0.839
Zn4 0.350 0.839 0.461
Zn5 0.650 0.161 0.539
Rh1 0.732 0.768 0.768
Rh2 0.268 0.232 0.232
# SG = Immm (71)
# ΔE_f = -282 kJ/mol of formula units

---

Record 4
# PBE CsGaPb, optimized geometry
data_CsGaPb
_chemical_formula_sum 'Cs2 Ga2 Pb2'
_cell_length_a 4.602
_cell_length_b 8.644
_cell_length_c 7.034
_cell_angle_alpha 77.21
_cell_angle_beta 90.00
_cell_angle_gamma 90.03
_symmetry_space_group_name_H-M 'P 1'
_symmetry_Int_Tables_number 1
_symmetry_space_group_name_Hall 'P 1'
loop_
_atom_site_label
_atom_site_fract_x
_atom_site_fract_y
_atom_site_fract_z
Cs1 0.812 0.799 0.274
Cs2 0.312 0.359 0.899
Ga1 0.812 0.039 0.701
Ga2 0.312 0.119 0.472
Pb1 0.812 0.317 0.382
Pb2 0.312 0.840 0.791
# SG = P2_1/m (11)
# ΔE_f = -30 kJ/mol of formula units

---

Total DFT energy (no corrections)? In order: -1.700 -6.005 -3.570 -2.635 eV/atom.
Magnetization? In order: 0.00 0.00 0.00 0.00 μB/f.u..
Ρ? In order: 1.39 9.27 8.50 4.99 g cm⁻³.